AlCdFeB2: relaxed, PBE-GGA.

Properties
E_tot = -16.198 eV for the cell shown
SG = P4/mmm (123)
E_form = 2.0555 eV per atom

Cell: 4.1614 4.1614 5.3585 Å, 90.00 90.00 90.00°
Sites, in units of the cell vectors:
Al  0.0000  0.0000  0.0000
Cd  0.0000  0.0000  0.5000
Fe  0.5000  0.5000  0.0000
B  0.0000  0.5000  0.5000
B  0.5000  0.0000  0.5000